Compound: MgNbHg2N
Source: the Alexandria database
Functional: PBEsol
Structure: optimized geometry

Properties
total energy: -2.5133 eV per atom

a = 5.2904 Å, b = 5.2904 Å, c = 5.6058 Å
α = 90.00°, β = 90.00°, γ = 90.00°
Fractional coordinates of all 5 atoms:
Nb: 0.0000 0.0000 0.0000
Hg: 0.5000 0.0000 0.0000
Hg: 0.0000 0.5000 0.0000
N: 0.5000 0.5000 0.5000
Mg: 0.0000 0.0000 0.5000

Compound: Y2MgIn
Source: the Alexandria database
Functional: PBEsol
Structure: optimized geometry

Properties
formation energy from the elements: -1.1 eV per formula unit
total energy: -4.8729 eV per atom

a = 3.7618 Å, b = 5.1394 Å, c = 6.2633 Å
α = 114.20°, β = 107.48°, γ = 90.00°
Fractional coordinates of all 4 atoms:
In: 0.5198 0.5196 0.0396
Y: 0.9939 0.9938 0.9878
Y: 0.7599 0.2600 0.5198
Mg: 0.2264 0.7266 0.4528

Compound: NaH4BrO2
Source: the Alexandria database
Functional: PBEsol
Structure: optimized geometry

Properties
total energy: -4.5380 eV per atom

a = 6.5942 Å, b = 6.7161 Å, c = 10.3252 Å
α = 90.00°, β = 90.00°, γ = 117.62°
Fractional coordinates of all 32 atoms:
H: 0.3735 0.4624 0.1936
H: 0.3735 0.9624 0.3064
H: 0.2553 0.3767 0.5459
H: 0.7822 0.2152 0.5942
H: 0.7447 0.6233 0.4541
H: 0.3857 0.7478 0.0099
H: 0.2178 0.7848 0.4058
H: 0.7822 0.7152 0.9058
H: 0.2178 0.2848 0.0942
H: 0.3857 0.2478 0.4901
H: 0.2553 0.8767 0.9541
H: 0.6265 0.0376 0.6936
H: 0.6143 0.2522 0.9901
H: 0.6265 0.5376 0.8064
H: 0.7447 0.1233 0.0459
H: 0.6143 0.7522 0.5099
Br: 0.7128 0.2898 0.3872
Br: 0.7128 0.7898 0.1128
Br: 0.2872 0.2102 0.8872
Br: 0.2872 0.7102 0.6128
Na: 0.0002 0.4438 0.8344
Na: 0.0002 0.9438 0.6656
Na: 0.9998 0.5562 0.1656
Na: 0.9998 0.0562 0.3344
O: 0.7673 0.7732 0.4830
O: 0.7673 0.2732 0.0170
O: 0.2145 0.8429 0.3176
O: 0.7855 0.6571 0.8176
O: 0.2327 0.7268 0.9830
O: 0.2145 0.3429 0.1824
O: 0.2327 0.2268 0.5170
O: 0.7855 0.1571 0.6824

Compound: MnP2AuS
Source: the Alexandria database
Functional: PBEsol
Structure: optimized geometry

Properties
total energy: -4.7863 eV per atom

a = 4.7016 Å, b = 4.7016 Å, c = 4.8769 Å
α = 90.00°, β = 90.00°, γ = 90.00°
Fractional coordinates of all 5 atoms:
P: 0.0000 0.5000 0.0000
P: 0.5000 0.0000 0.0000
Au: 0.0000 0.0000 0.0000
S: 0.0000 0.0000 0.5000
Mn: 0.5000 0.5000 0.5000

Compound: LuMgPd2
Source: the Alexandria database
Functional: PBEsol
Structure: optimized geometry

Properties
formation energy from the elements: -3.4 eV per formula unit
total energy: -5.4657 eV per atom

a = 4.6373 Å, b = 4.6373 Å, c = 4.6373 Å
α = 60.00°, β = 60.00°, γ = 60.00°
Fractional coordinates of all 4 atoms:
Mg: 0.0000 0.0000 0.0000
Pd: 0.7500 0.7500 0.7500
Pd: 0.2500 0.2500 0.2500
Lu: 0.5000 0.5000 0.5000

Compound: Li2MnTc
Source: the Alexandria database
Functional: PBEsol
Structure: optimized geometry

Properties
formation energy from the elements: 1.1 eV per formula unit
total energy: -5.9703 eV per atom
distance to the lowest polymorph of the same formula: 0.111 eV per formula unit

a = 2.5882 Å, b = 2.5882 Å, c = 9.0228 Å
α = 90.00°, β = 90.00°, γ = 111.65°
Fractional coordinates of all 4 atoms:
Mn: 0.0000 0.0000 0.4836
Li: 0.5000 0.5000 0.7275
Li: 0.0000 0.0000 0.0184
Tc: 0.5000 0.5000 0.2705

Compound: LuAu4
Source: the Alexandria database
Functional: PBEsol
Structure: optimized geometry

Properties
formation energy from the elements: -3.2 eV per formula unit
total energy: -4.7487 eV per atom

a = 4.0889 Å, b = 5.1027 Å, c = 5.1027 Å
α = 80.76°, β = 66.38°, γ = 66.38°
Fractional coordinates of all 5 atoms:
Au: 0.1999 0.4013 0.1989
Au: 0.8001 0.5987 0.8011
Au: 0.6012 0.1989 0.5987
Au: 0.3988 0.8011 0.4013
Lu: 0.0000 0.0000 0.0000

Compound: CaLaBe2
Source: the Alexandria database
Functional: PBEsol
Structure: optimized geometry

Properties
formation energy from the elements: 1.2 eV per formula unit
total energy: -3.5776 eV per atom
distance to the lowest polymorph of the same formula: 0.000 eV per formula unit

a = 3.5048 Å, b = 4.9419 Å, c = 5.6161 Å
α = 116.10°, β = 108.18°, γ = 90.00°
Fractional coordinates of all 4 atoms:
Ca: 0.5271 0.5271 0.0542
Be: 0.3123 0.8123 0.6247
Be: 0.9422 0.9422 0.8843
La: 0.7184 0.2184 0.4368

- total energy of number 7 (LuAu4)?
  -4.7487 eV per atom

- Which of these has the highest total energy?
  MgNbHg2N

- Among the records above, which one has the lowest total energy?
  Li2MnTc